Entry 1:
# TiHgI2O

Crystalline TiHgI2O at its relaxed geometry (PBE-GGA, Alexandria via LeMat-Bulk).

Space-group type: P4/mmm, No. 123
D(E_F) (states/eV per cell): 1.91
Polymorph energy (0 for the lowest one) (kcal/mol of atoms): 0.00
Spin magnetization (μB/f.u.): 0.0

abc: 5.7982 5.7982 3.7772
angles: 90.00 90.00 90.00
Last column: nearest neighbours and their distance in Å.
Sites, in units of the cell vectors:
Ti (0.0000, 0.0000, 0.0000)  2 O 1.89
Hg (0.5000, 0.5000, 0.5000)  8 I 3.46, 2 Hg 3.78
I (0.0000, 0.5000, 0.0000)  2 Ti 2.90
I (0.5000, 0.0000, 0.0000)  2 Ti 2.90
O (0.0000, 0.0000, 0.5000)  2 Ti 1.89



Entry 2:
# TiHgI2O

Crystalline TiHgI2O at its relaxed geometry (PBE-GGA, Alexandria via LeMat-Bulk).

Space-group type: P4/mmm, No. 123
D(E_F) (states/eV per cell): 4.36
Polymorph energy (0 for the lowest one) (kcal/mol of atoms): 30.71
Spin magnetization (μB/f.u.): 2.1

abc: 6.0130 6.0130 4.0458
angles: 90.00 90.00 90.00
Last column: nearest neighbours and their distance in Å.
Sites, in units of the cell vectors:
Ti (0.0000, 0.0000, 0.0000)  8 I 3.62, 2 Ti 4.05
Hg (0.5000, 0.5000, 0.5000)  2 O 2.02
I (0.0000, 0.5000, 0.5000)  2 Hg 3.01
I (0.5000, 0.0000, 0.5000)  2 Hg 3.01
O (0.5000, 0.5000, 0.0000)  2 Hg 2.02



Entry 3:
# TlHg2IO6

Crystalline TlHg2IO6 at its relaxed geometry (PBE-GGA, Alexandria via LeMat-Bulk).

VASP energy (eV per atom): -3.720
Space-group type: R3, No. 146
Spin magnetization (μB/f.u.): 0.0

abc: 6.0119 6.0119 6.0119
angles: 58.57 58.57 58.57
Last column: nearest neighbours and their distance in Å.
Sites, in units of the cell vectors:
Tl (0.0000, 0.0000, 0.0000)  6 O 2.33-2.34
Hg (0.2565, 0.2565, 0.2565)  3 O 2.26
Hg (0.7730, 0.7730, 0.7730)  3 O 2.29
I (0.4937, 0.4937, 0.4937)  6 O 2.06-2.17
O (0.1458, 0.7025, 0.3831)  1 I 2.06, 1 Hg 2.29
O (0.2280, 0.6163, 0.8575)  1 I 2.17, 1 Hg 2.26, 1 Tl 2.34
O (0.3831, 0.1458, 0.7025)  1 I 2.06, 1 Hg 2.29
O (0.6163, 0.8575, 0.2280)  1 I 2.17, 1 Hg 2.26, 1 Tl 2.34
O (0.7025, 0.3831, 0.1458)  1 I 2.06, 1 Hg 2.29
O (0.8575, 0.2280, 0.6163)  1 I 2.17, 1 Hg 2.26, 1 Tl 2.34



Entry 4:
# Tl3HgI2O9

Crystalline Tl3HgI2O9 at its relaxed geometry (PBE-GGA, Alexandria via LeMat-Bulk).

VASP energy (eV per atom): -3.994
Space-group type: P-3m1, No. 164
D(E_F) (states/eV per cell): 4.13
Spin magnetization (μB/f.u.): 0.0

abc: 5.9743 5.9743 7.5075
angles: 90.00 90.00 120.00
Last column: nearest neighbours and their distance in Å.
Sites, in units of the cell vectors:
Tl (0.0000, 0.0000, 0.0000)  12 O 2.93-2.99
Tl (0.3333, 0.6667, 0.6724)  12 O 3.00-3.20
Tl (0.6667, 0.3333, 0.3276)  12 O 3.00-3.20
Hg (0.0000, 0.0000, 0.5000)  6 O 2.37
I (0.3333, 0.6667, 0.1681)  3 O 1.89
I (0.6667, 0.3333, 0.8319)  3 O 1.89
O (0.0000, 0.5000, 0.0000)  2 I 2.14
O (0.1790, 0.3580, 0.3027)  1 I 1.89
O (0.1790, 0.8210, 0.3027)  1 I 1.89
O (0.3580, 0.1790, 0.6973)  1 I 1.89
O (0.5000, 0.0000, 0.0000)  2 I 2.14
O (0.5000, 0.5000, 0.0000)  2 I 2.14
O (0.6420, 0.8210, 0.3027)  1 I 1.89
O (0.8210, 0.1790, 0.6973)  1 I 1.89
O (0.8210, 0.6420, 0.6973)  1 I 1.89



Entry 5:
# TlHgI2O

Crystalline TlHgI2O at its relaxed geometry (PBE-GGA, Alexandria via LeMat-Bulk).

Space-group type: P4/mmm, No. 123
D(E_F) (states/eV per cell): 4.32
Polymorph energy (0 for the lowest one) (kcal/mol of atoms): 2.43
Spin magnetization (μB/f.u.): 0.0

abc: 6.2345 6.2345 4.1204
angles: 90.00 90.00 90.00
Last column: nearest neighbours and their distance in Å.
Sites, in units of the cell vectors:
Tl (0.0000, 0.0000, 0.0000)  2 O 2.06
Hg (0.5000, 0.5000, 0.5000)  8 I 3.74, 2 Hg 4.12
I (0.0000, 0.5000, 0.0000)  2 Tl 3.12
I (0.5000, 0.0000, 0.0000)  2 Tl 3.12
O (0.0000, 0.0000, 0.5000)  2 Tl 2.06



Entry 6:
# TlHgI2O

Crystalline TlHgI2O at its relaxed geometry (PBE-GGA, Alexandria via LeMat-Bulk).

Space-group type: P4/mmm, No. 123
D(E_F) (states/eV per cell): 6.77
Polymorph energy (0 for the lowest one) (kcal/mol of atoms): 0.00
Spin magnetization (μB/f.u.): 0.6

abc: 6.1798 6.1798 4.2024
angles: 90.00 90.00 90.00
Last column: nearest neighbours and their distance in Å.
Sites, in units of the cell vectors:
Tl (0.0000, 0.0000, 0.0000)  8 I 3.74
Hg (0.5000, 0.5000, 0.5000)  2 O 2.10
I (0.0000, 0.5000, 0.5000)  2 Hg 3.09
I (0.5000, 0.0000, 0.5000)  2 Hg 3.09
O (0.5000, 0.5000, 0.0000)  2 Hg 2.10



Entry 7:
# UHgIO4

Crystalline UHgIO4 at its relaxed geometry (PBE-GGA, Alexandria via LeMat-Bulk).

VASP energy (eV per atom): -6.378
Space-group type: C2/m, No. 12
Spin magnetization (μB/f.u.): 0.0

abc: 7.6694 7.6694 7.9424
angles: 115.83 115.83 63.12
Last column: nearest neighbours and their distance in Å.
Sites, in units of the cell vectors:
U (0.1474, 0.1474, 0.1786)  4 O 1.87-2.04
U (0.8526, 0.8526, 0.8214)  4 O 1.87-2.04
Hg (0.3188, 0.3188, 0.8138)  2 O 2.02
Hg (0.6812, 0.6812, 0.1862)  2 O 2.02
I (0.4428, 0.4428, 0.2971)  1 I 2.77
I (0.5572, 0.5572, 0.7029)  1 I 2.77
O (0.0437, 0.0437, 0.8903)  1 U 1.98
O (0.0751, 0.5768, 0.8315)  1 Hg 2.02, 1 U 2.04
O (0.2204, 0.2204, 0.4519)  1 U 1.87
O (0.4232, 0.9249, 0.1685)  1 Hg 2.02, 1 U 2.04
O (0.5768, 0.0751, 0.8315)  1 Hg 2.02, 1 U 2.04
O (0.7796, 0.7796, 0.5481)  1 U 1.87
O (0.9249, 0.4232, 0.1685)  1 Hg 2.02, 1 U 2.04
O (0.9563, 0.9563, 0.1097)  1 U 1.98